1.
Material: Pa2Cu3O7
Method: DFT, PBE
State: relaxed

## Properties
calculated volume	701.6	Å³/cell
formation energy (no corrections)	-2203	meV per atom

The structure in CIF format:
```
data_Pa2Cu3O7
_symmetry_space_group_name_H-M 'C m c 21'
_symmetry_Int_Tables_number 36
_cell_length_a 20.8475
_cell_length_b 5.4950
_cell_length_c 6.1242
_cell_angle_alpha 90.00
_cell_angle_beta 90.00
_cell_angle_gamma 90.00
loop_
_symmetry_equiv_pos_as_xyz
'x,y,z'
'-x,-y,z+1/2'
'-x,y,z'
'x,-y,z+1/2'
'x+1/2,y+1/2,z'
'-x+1/2,-y+1/2,z+1/2'
'-x+1/2,y+1/2,z'
'x+1/2,-y+1/2,z+1/2'
loop_
_atom_site_label
_atom_site_fract_x
_atom_site_fract_y
_atom_site_fract_z
_atom_site_occupancy
Pa1 0.1013 0.2437 0.0000 1
Cu1 0.0000 0.2320 0.5977 1
Cu2 0.2484 0.2442 0.2315 1
O1 0.0000 0.1075 0.0158 1
O2 0.0737 0.4336 0.6930 1
O3 0.1226 0.0681 0.3014 1
O4 0.2054 0.3357 0.9792 1
```

2.
Material: LiSmMg2
Method: DFT, PBE
State: relaxed

## Properties
calculated volume	308.3	Å³/cell
energy above the most stable polymorph in this dataset	0.093	eV per atom
formation enthalpy at 0 K	0.0418	eV/atom

The structure in CIF format:
```
data_LiSmMg2
_symmetry_space_group_name_H-M 'R 3 m'
_symmetry_Int_Tables_number 160
_symmetry_space_group_name_Hall 'R 3 -2"'
_cell_length_a 3.3056
_cell_length_b 3.3056
_cell_length_c 32.5832
_cell_angle_alpha 90.00
_cell_angle_beta 90.00
_cell_angle_gamma 120.00
loop_
_atom_site_label
_atom_site_fract_x
_atom_site_fract_y
_atom_site_fract_z
_atom_site_occupancy
Li1 0.0000 0.0000 0.0000 1
Sm1 0.0000 0.0000 0.8328 1
Mg1 0.0000 0.0000 0.4100 1
Mg2 0.0000 0.0000 0.5892 1
```

3.
Material: SbTe2Pb6Se3
Method: DFT, PBE
State: relaxed

## Properties
calculated volume	766.4	Å³/cell
formation energy (no corrections)	-360	meV per atom

The structure in CIF format:
```
data_SbTe2Pb6Se3
_symmetry_space_group_name_H-M 'C 1 2/m 1'
_symmetry_Int_Tables_number 12
_cell_length_a 7.7799
_cell_length_b 13.5034
_cell_length_c 7.7390
_cell_angle_alpha 90.00
_cell_angle_beta 109.49
_cell_angle_gamma 90.00
loop_
_symmetry_equiv_pos_as_xyz
'x,y,z'
'-x,-y,-z'
'-x,y,-z'
'x,-y,z'
'x+1/2,y+1/2,z'
'-x+1/2,-y+1/2,-z'
'-x+1/2,y+1/2,-z'
'x+1/2,-y+1/2,z'
loop_
_atom_site_label
_atom_site_fract_x
_atom_site_fract_y
_atom_site_fract_z
_atom_site_occupancy
Sb1 0.0000 0.0000 0.0000 1
Te1 0.0000 0.3331 0.0000 1
Pb1 0.2381 0.0000 0.7361 1
Pb2 0.2499 0.1630 0.2616 1
Se1 0.0000 0.1664 0.5000 1
Se2 0.0000 0.5000 0.5000 1
```

4.
Material: Tb5SmTl5
Method: DFT, PBE
State: relaxed

## Properties
calculated volume	682.2	Å³/cell
formation enthalpy at 0 K	-0.1109	eV/atom

The structure in CIF format:
```
data_Tb5SmTl5
_symmetry_space_group_name_H-M 'C 1 2/m 1'
_symmetry_Int_Tables_number 12
_cell_length_a 16.1658
_cell_length_b 5.9678
_cell_length_c 7.1570
_cell_angle_alpha 90.00
_cell_angle_beta 98.89
_cell_angle_gamma 90.00
loop_
_symmetry_equiv_pos_as_xyz
'x,y,z'
'-x,-y,-z'
'-x,y,-z'
'x,-y,z'
'x+1/2,y+1/2,z'
'-x+1/2,-y+1/2,-z'
'-x+1/2,y+1/2,-z'
'x+1/2,-y+1/2,z'
loop_
_atom_site_label
_atom_site_fract_x
_atom_site_fract_y
_atom_site_fract_z
_atom_site_occupancy
Tb1 0.0000 0.0000 0.0000 1
Tb2 0.1373 0.5000 0.9020 1
Tb3 0.1773 0.5000 0.4124 1
Sm1 0.0000 0.0000 0.5000 1
Tl1 0.0000 0.5000 0.5000 1
Tl2 0.1694 0.0000 0.7879 1
Tl3 0.1750 0.0000 0.2355 1
```

5.
Material: Ti2CdBi2
Method: DFT, PBE
State: relaxed

## Properties
calculated volume	228.8	Å³/cell
energy above the most stable polymorph in this dataset	0.000	eV per atom
formation enthalpy at 0 K	-0.0355	eV/atom

The structure in CIF format:
```
data_Ti2CdBi2
_symmetry_space_group_name_H-M 'P 4/m b m'
_symmetry_Int_Tables_number 127
_symmetry_space_group_name_Hall '-P 4 2ab'
_cell_length_a 7.7418
_cell_length_b 7.7418
_cell_length_c 3.8171
_cell_angle_alpha 90.00
_cell_angle_beta 90.00
_cell_angle_gamma 90.00
loop_
_atom_site_label
_atom_site_fract_x
_atom_site_fract_y
_atom_site_fract_z
_atom_site_occupancy
Ti1 0.1314 0.3686 0.0000 1
Cd1 0.0000 0.0000 0.0000 1
Bi1 0.1622 0.6622 0.5000 1
```

6.
Material: PbSeBr2
Method: DFT, PBE
State: relaxed

## Properties
calculated volume	450.2	Å³/cell
energy above the most stable polymorph in this dataset	0.423	eV per atom
formation energy (no corrections)	-42	meV per atom

The structure in CIF format:
```
data_PbSeBr2
_symmetry_space_group_name_H-M 'F m -3 m'
_symmetry_Int_Tables_number 225
_symmetry_space_group_name_Hall '-F 4 2 3'
_cell_length_a 7.6643
_cell_length_b 7.6643
_cell_length_c 7.6643
_cell_angle_alpha 90.00
_cell_angle_beta 90.00
_cell_angle_gamma 90.00
loop_
_atom_site_label
_atom_site_fract_x
_atom_site_fract_y
_atom_site_fract_z
_atom_site_occupancy
Pb1 0.0000 0.0000 0.0000 1
Se1 0.0000 0.0000 0.5000 1
Br1 0.2500 0.2500 0.2500 1
```

7.
Material: Co2SiTc
Method: DFT, PBE
State: relaxed

## Properties
calculated volume	94.0	Å³/cell
formation energy (no corrections)	-193	meV per atom

The structure in CIF format:
```
data_Co2SiTc
_symmetry_space_group_name_H-M 'I -4 m 2'
_symmetry_Int_Tables_number 119
_symmetry_space_group_name_Hall 'I -4 -2'
_cell_length_a 3.6657
_cell_length_b 3.6657
_cell_length_c 6.9950
_cell_angle_alpha 90.00
_cell_angle_beta 90.00
_cell_angle_gamma 90.00
loop_
_atom_site_label
_atom_site_fract_x
_atom_site_fract_y
_atom_site_fract_z
_atom_site_occupancy
Co1 0.0000 0.0000 0.0000 1
Co2 0.0000 0.5000 0.2500 1
Si1 0.0000 0.5000 0.7500 1
Tc1 0.0000 0.0000 0.5000 1
```

8.
Material: Tl2Ga10Ge
Method: DFT, PBE
State: relaxed

## Properties
calculated volume	554.6	Å³/cell
formation enthalpy at 0 K	0.0501	eV/atom

The structure in CIF format:
```
data_Tl2Ga10Ge
_symmetry_space_group_name_H-M 'P 1 21/c 1'
_symmetry_Int_Tables_number 14
_cell_length_a 5.9209
_cell_length_b 9.8380
_cell_length_c 10.1005
_cell_angle_alpha 90.00
_cell_angle_beta 109.50
_cell_angle_gamma 90.00
loop_
_symmetry_equiv_pos_as_xyz
'x,y,z'
'-x,-y,-z'
'-x,y+1/2,-z+1/2'
'x,-y+1/2,z+1/2'
loop_
_atom_site_label
_atom_site_fract_x
_atom_site_fract_y
_atom_site_fract_z
_atom_site_occupancy
Tl1 0.1231 0.0020 0.1676 1
Ga1 0.1383 0.1961 0.4114 1
Ga2 0.1409 0.6952 0.9110 1
Ga3 0.3319 0.1415 0.7055 1
Ga4 0.3367 0.6496 0.2069 1
Ga5 0.4990 0.1311 0.9992 1
Ge1 0.5000 0.0000 0.5000 1
```

- calculated volume of number 2 (LiSmMg2)?
  308.3 Å³/cell

- The lowest calculated volume belongs to which entry?
  Co2SiTc

What did the third record say?
Material: SbTe2Pb6Se3
Method: DFT, PBE
State: relaxed

## Properties
calculated volume	766.4	Å³/cell
formation energy (no corrections)	-360	meV per atom

The structure in CIF format:
```
data_SbTe2Pb6Se3
_symmetry_space_group_name_H-M 'C 1 2/m 1'
_symmetry_Int_Tables_number 12
_cell_length_a 7.7799
_cell_length_b 13.5034
_cell_length_c 7.7390
_cell_angle_alpha 90.00
_cell_angle_beta 109.49
_cell_angle_gamma 90.00
loop_
_symmetry_equiv_pos_as_xyz
'x,y,z'
'-x,-y,-z'
'-x,y,-z'
'x,-y,z'
'x+1/2,y+1/2,z'
'-x+1/2,-y+1/2,-z'
'-x+1/2,y+1/2,-z'
'x+1/2,-y+1/2,z'
loop_
_atom_site_label
_atom_site_fract_x
_atom_site_fract_y
_atom_site_fract_z
_atom_site_occupancy
Sb1 0.0000 0.0000 0.0000 1
Te1 0.0000 0.3331 0.0000 1
Pb1 0.2381 0.0000 0.7361 1
Pb2 0.2499 0.1630 0.2616 1
Se1 0.0000 0.1664 0.5000 1
Se2 0.0000 0.5000 0.5000 1
```

- Which value of calculated volume does entry 7 give?
  94.0 Å³/cell